# 1
# BeRhSeBr2 | the Alexandria database | PBE-GGA | relaxed
data_BeRhSeBr2
_chemical_formula_sum 'Be1 Rh1 Se1 Br2'
_space_group_name_H-M_alt 'P 1'
_space_group_IT_number 1
_cell_length_a 4.6863
_cell_length_b 4.6863
_cell_length_c 4.7246
_cell_angle_alpha 90.00
_cell_angle_beta 90.00
_cell_angle_gamma 90.00
loop_
_space_group_symop_operation_xyz
'x,y,z'
loop_
_atom_site_label
_atom_site_type_symbol
_atom_site_fract_x
_atom_site_fract_y
_atom_site_fract_z
Be1 Be 0.0000 0.0000 0.0000
Rh1 Rh 0.5000 0.5000 0.5000
Se1 Se 0.0000 0.0000 0.5000
Br1 Br 0.0000 0.5000 0.0000
Br2 Br 0.5000 0.0000 0.0000
# Offset from the most stable computed form: 0.00 eV/f.u.
# VASP energy: -15.42 eV per cell
# Theoretical density: 5612 kg/m3
# Total magnetization: 1.91 μB/f.u.
# SG: No. 123
# Formation energy (no corrections): 498 meV/atom

=====

# 2
# Ta2TcSb | the Alexandria database | PBE-GGA | relaxed
data_Ta2TcSb
_chemical_formula_sum 'Ta2 Tc1 Sb1'
_space_group_name_H-M_alt 'P 1'
_space_group_IT_number 1
_cell_length_a 5.3933
_cell_length_b 5.3933
_cell_length_c 5.3933
_cell_angle_alpha 143.51
_cell_angle_beta 130.21
_cell_angle_gamma 63.29
loop_
_space_group_symop_operation_xyz
'x,y,z'
loop_
_atom_site_label
_atom_site_type_symbol
_atom_site_fract_x
_atom_site_fract_y
_atom_site_fract_z
Ta1 Ta 0.2411 0.2411 0.0000
Ta2 Ta 0.7589 0.7589 0.0000
Tc1 Tc 0.0000 0.5000 0.5000
Sb1 Sb 0.5000 0.0000 0.5000
# VASP energy: -38.37 eV per cell
# Theoretical density: 13718 kg/m3
# Total magnetization: 0.00 μB/f.u.
# SG: No. 71
# Formation energy (no corrections): -43 meV/atom

=====

# 3
# Tm4CuTe2S | the Alexandria database | PBE-GGA | relaxed
data_Tm4CuTe2S
_chemical_formula_sum 'Tm4 Cu1 Te2 S1'
_space_group_name_H-M_alt 'P 1'
_space_group_IT_number 1
_cell_length_a 7.2032
_cell_length_b 3.9849
_cell_length_c 7.2870
_cell_angle_alpha 90.00
_cell_angle_beta 108.03
_cell_angle_gamma 90.00
loop_
_space_group_symop_operation_xyz
'x,y,z'
loop_
_atom_site_label
_atom_site_type_symbol
_atom_site_fract_x
_atom_site_fract_y
_atom_site_fract_z
Tm1 Tm 0.2304 0.0000 0.2109
Tm2 Tm 0.2617 0.5000 0.7880
Tm3 Tm 0.7383 0.5000 0.2120
Tm4 Tm 0.7696 0.0000 0.7891
Cu1 Cu 0.0000 0.5000 0.0000
Te1 Te 0.0000 0.0000 0.5000
Te2 Te 0.5000 0.5000 0.5000
S1 S 0.5000 0.0000 0.0000
# VASP energy: -41.54 eV per cell
# Theoretical density: 8571 kg/m3
# Total magnetization: 0.00 μB/f.u.
# SG: No. 10
# Formation energy (no corrections): -1143 meV/atom

=====

# 4
# In2TePdPb | the Alexandria database | PBE-GGA | relaxed
data_In2TePdPb
_chemical_formula_sum 'In2 Te1 Pd1 Pb1'
_space_group_name_H-M_alt 'P 1'
_space_group_IT_number 1
_cell_length_a 5.7249
_cell_length_b 5.7249
_cell_length_c 5.9724
_cell_angle_alpha 90.00
_cell_angle_beta 90.00
_cell_angle_gamma 90.00
loop_
_space_group_symop_operation_xyz
'x,y,z'
loop_
_atom_site_label
_atom_site_type_symbol
_atom_site_fract_x
_atom_site_fract_y
_atom_site_fract_z
In1 In 0.0000 0.5000 0.0000
In2 In 0.5000 0.0000 0.0000
Te1 Te 0.0000 0.0000 0.5000
Pd1 Pd 0.5000 0.5000 0.5000
Pb1 Pb 0.0000 0.0000 0.0000
# Offset from the most stable computed form: 5.02 eV/f.u.
# VASP energy: -13.57 eV per cell
# Theoretical density: 5691 kg/m3
# Total magnetization: 0.00 μB/f.u.
# SG: No. 123
# Formation energy (no corrections): 791 meV/atom